Here is Hf2ScTe after structural relaxation from the Alexandria database. Energies are from PBE.

abc: 8.328 8.328 5.774
angles: 90.00 90.00 90.00
Space group I-42d (No. 122)
One atom of each set of equivalent atoms:
Hf1 0.214 0.750 0.125 [8 per cell]
Sc1 0.000 0.000 0.500 [4 per cell]
Te1 0.000 0.000 0.000 [4 per cell]

Output
ΔE_f (raw) (eV/atom): 0.126

---

Here is Pr12TmIn6 after structural relaxation from the Alexandria database. Energies are from PBE.

abc: 11.8316 11.8316 14.8306
angles: 90.00 90.00 120.00
Space group R-3 (No. 148, hexagonal axes)
One atom of each set of equivalent atoms:
Pr1 0.0644 0.8449 0.4099 [18 per cell]
Pr2 0.0674 0.1897 0.8071 [18 per cell]
Tm1 0.0000 0.0000 0.0000 [3 per cell]
In1 0.0342 0.4436 0.7112 [18 per cell]

Output
Energy relative to the elements (eV per atom): -0.241